1.
The following is a GGA-PBE calculation of a relaxed Sr2YGa3Au4 crystal, from Alexandria.

Cell lengths 4.5460, 4.5460, 11.4913 Å; angles 90.00, 90.00, 90.00 degrees
Atoms (fractional coordinates):
Sr 0.5000 0.0000 0.2253
Sr 0.0000 0.5000 0.7747
Ga 0.5000 0.0000 0.8825
Ga 0.0000 0.5000 0.1175
Ga 0.0000 0.0000 0.5000
Au 0.0000 0.0000 0.0000
Au 0.0000 0.5000 0.3420
Au 0.5000 0.5000 0.0000
Au 0.5000 0.0000 0.6580
Y 0.5000 0.5000 0.5000

Calculated values
DOS(E_F) (states/eV per atom): 0.6559
ΔH_f (0 K) (meV per atom): -632
Size of the total moment (μB/cell): 0.0
Total DFT energy (no corrections) (eV per atom): -3.8342

2.
The following is a GGA-PBE calculation of a relaxed PaTlSn2 crystal, from Alexandria.

Cell lengths 4.0821, 4.0821, 6.5522 Å; angles 90.00, 90.00, 90.00 degrees
Last column: magnetic moment on the atom in μB.
Atoms (fractional coordinates):
Pa 0.5000 0.5000 0.5000  0.78
Sn 0.0000 0.0000 0.7362  0.03
Sn 0.0000 0.0000 0.2638  0.03
Tl 0.5000 0.5000 0.0000  0.02

Calculated values
DOS(E_F) (states/eV per atom): 1.3858
ΔH_f (0 K) (meV per atom): -17
Size of the total moment (μB/cell): 1.1
Offset from the most stable computed form (kJ/mol of atoms): 15.7
Total DFT energy (no corrections) (eV per atom): -4.9844

3.
The following is a GGA-PBE calculation of a relaxed ZrNi3Sb crystal, from Alexandria.

Cell lengths 4.5534, 4.5534, 4.5534 Å; angles 90.00, 90.00, 90.00 degrees
Atoms (fractional coordinates):
Sb 0.0000 0.0000 0.0000
Ni 0.0000 0.5000 0.0000
Ni 0.5000 0.0000 0.0000
Ni 0.0000 0.0000 0.5000
Zr 0.5000 0.5000 0.5000

Calculated values
DOS(E_F) (states/eV per atom): 0.8279
Size of the total moment (μB/cell): 0.0
Offset from the most stable computed form (kJ/mol of atoms): 0.0
Total DFT energy (no corrections) (eV per atom): -5.4636

- size of the total moment of number 2 (PaTlSn2)?
  1.1 μB/cell

- Which value of size of the total moment does entry 2 give?
  1.1 μB/cell

- The lowest total DFT energy (no corrections) belongs to which entry?
  ZrNi3Sb